# 1
# CrAgOF2

A crystal of CrAgOF2 relaxed with PBEsol (SCAN, the Alexandria database).

Computed properties:
The value obtained for the volume is 11.84 Å³/atom. The calculation puts the final energy at -14.546 eV per atom. The total magnetic moment comes out at 2.99 μB/f.u. The uncorrected formation energy comes out at -1933 meV per atom. Its density of states at the Fermi level is 0.233 states/eV per atom.

Cell and atoms, written as POSCAR:
```
CrAgOF2
1.0
4.024 0.000 0.000
0.000 4.024 0.000
0.000 0.000 3.655
Cr Ag O F
1 1 1 2
Direct
0.000 0.000 0.000 Cr
0.500 0.500 0.500 Ag
0.000 0.000 0.500 O
0.000 0.500 0.000 F
0.500 0.000 0.000 F
```

# 2
# NaAg2Bi2

A crystal of NaAg2Bi2 relaxed with PBEsol (SCAN, the Alexandria database).

Computed properties:
The value obtained for the volume is 27.63 Å³/atom. The distance to the lowest polymorph of the same formula comes out at 9.7 kJ/mol of atoms. The value obtained for the formation energy is 0.24 eV per formula unit. The calculation puts the final energy at -44.774 eV per atom. The total magnetic moment comes out at 0.00 μB/f.u. Its density of states at the Fermi level is 0.449 states/eV per atom.

Cell and atoms, written as POSCAR:
```
NaAg2Bi2
1.0
4.916 0.000 0.000
0.000 4.916 0.000
0.000 0.000 11.434
Na Ag Bi
2 4 4
Direct
0.000 0.000 0.000 Na
0.500 0.500 0.500 Na
0.000 0.000 0.384 Ag
0.000 0.000 0.616 Ag
0.500 0.500 0.116 Ag
0.500 0.500 0.884 Ag
0.000 0.500 0.250 Bi
0.000 0.500 0.750 Bi
0.500 0.000 0.250 Bi
0.500 0.000 0.750 Bi
```

# 3
# NiAuO2

A crystal of NiAuO2 relaxed with PBEsol (SCAN, the Alexandria database).

Computed properties:
The value obtained for the volume is 11.11 Å³/atom. The calculation puts the final energy at -25.315 eV per atom. The total magnetic moment comes out at 0.99 μB/f.u. The uncorrected formation energy comes out at -867 meV per atom. Its density of states at the Fermi level is 0.372 states/eV per atom.

Cell and atoms, written as POSCAR:
```
NiAuO2
1.0
2.918 0.000 0.000
-1.459 2.527 0.000
0.000 0.000 12.052
Ni Au O
2 2 4
Direct
0.000 0.000 0.000 Ni
0.000 0.000 0.500 Ni
0.333 0.667 0.250 Au
0.667 0.333 0.750 Au
0.333 0.667 0.080 O
0.333 0.667 0.420 O
0.667 0.333 0.580 O
0.667 0.333 0.920 O
```

# 4
# SrMgI2

A crystal of SrMgI2 relaxed with PBEsol (SCAN, the Alexandria database).

Computed properties:
The value obtained for the volume is 42.73 Å³/atom. The calculation puts the final energy at -26.056 eV per atom. The total magnetic moment comes out at 0.00 μB/f.u. The uncorrected formation energy comes out at -873 meV per atom.

Cell and atoms, written as POSCAR:
```
SrMgI2
1.0
9.319 0.000 0.000
0.000 9.319 0.000
0.000 0.000 7.872
Sr Mg I
4 4 8
Direct
0.000 0.000 0.000 Sr
0.000 0.500 0.250 Sr
0.500 0.000 0.750 Sr
0.500 0.500 0.500 Sr
0.000 0.000 0.500 Mg
0.000 0.500 0.750 Mg
0.500 0.000 0.250 Mg
0.500 0.500 0.000 Mg
0.207 0.750 0.125 I
0.250 0.207 0.875 I
0.250 0.293 0.375 I
0.293 0.750 0.625 I
0.707 0.250 0.625 I
0.750 0.707 0.375 I
0.750 0.793 0.875 I
0.793 0.250 0.125 I
```

# 5
# Nb2Tc

A crystal of Nb2Tc relaxed with PBEsol (SCAN, the Alexandria database).

Computed properties:
The value obtained for the volume is 16.41 Å³/atom. The value obtained for the formation energy is -0.93 eV per formula unit. The calculation puts the final energy at -34.082 eV per atom. The total magnetic moment comes out at 0.00 μB/f.u. Its density of states at the Fermi level is 0.383 states/eV per atom.

Cell and atoms, written as POSCAR:
```
Nb2Tc
1.0
3.184 0.000 0.000
0.000 3.184 0.000
0.000 0.000 9.715
Nb Tc
4 2
Direct
0.000 0.000 0.161 Nb
0.000 0.000 0.839 Nb
0.500 0.500 0.339 Nb
0.500 0.500 0.661 Nb
0.000 0.000 0.500 Tc
0.500 0.500 0.000 Tc
```

# 6
# ZrZnHg

A crystal of ZrZnHg relaxed with PBEsol (SCAN, the Alexandria database).

Computed properties:
The value obtained for the volume is 18.48 Å³/atom. The distance to the lowest polymorph of the same formula comes out at 0.0 kJ/mol of atoms. The value obtained for the formation energy is -1.02 eV per formula unit. The calculation puts the final energy at -37.801 eV per atom. The total magnetic moment comes out at 0.00 μB/f.u. Its density of states at the Fermi level is 0.696 states/eV per atom.

Cell and atoms, written as POSCAR:
```
ZrZnHg
1.0
4.523 0.000 0.000
-2.261 3.917 0.000
0.000 0.000 3.129
Zr Zn Hg
1 1 1
Direct
0.000 0.000 0.000 Zr
0.667 0.333 0.500 Zn
0.333 0.667 0.500 Hg
```